Entry 1:
K2PmPaTe4: relaxed, PBE.

Computed properties:
VASP energy ... -4.7819 eV per atom
Fermi-level density of states ... 1.0482 states/eV per atom

Structure (POSCAR):
```
K2PmPaTe4
1.0
7.8257 0.0000 0.0000
0.0000 4.4889 0.0000
-2.5761 0.0000 8.3577
K Pm Pa Te
2 1 1 4
direct
0.0000 0.0000 0.0000
0.5000 0.5000 0.0000
0.0000 0.5000 0.5000
0.5000 0.0000 0.5000
0.2434 0.0000 0.7152
0.2654 0.5000 0.2855
0.7346 0.5000 0.7145
0.7566 0.0000 0.2848
```

***

Entry 2:
K2Pr2PaS6: relaxed, PBE.

Computed properties:
VASP energy ... -5.9638 eV per atom
Fermi-level density of states ... 0.1810 states/eV per atom

Structure (POSCAR):
```
K2Pr2PaS6
1.0
3.6183 -6.2064 0.0000
3.6183 6.2064 0.0000
-2.4247 0.0000 7.5210
K Pr Pa S
2 2 1 6
direct
0.1693 0.8307 0.0000
0.8307 0.1693 0.0000
0.3344 0.6656 0.5000
0.6656 0.3344 0.5000
0.0000 0.0000 0.5000
0.0642 0.3851 0.6995
0.2462 0.2462 0.3007
0.3851 0.0642 0.6995
0.6149 0.9358 0.3005
0.7538 0.7538 0.6993
0.9358 0.6149 0.3005
```

***

Entry 3:
KPr2PaS5: relaxed, PBE.

Computed properties:
VASP energy ... -6.2463 eV per atom
Fermi-level density of states ... 0.4347 states/eV per atom

Structure (POSCAR):
```
KPr2PaS5
1.0
-2.5387 3.6322 6.9721
2.5387 -3.6322 6.9721
2.5387 3.6322 -6.9721
K Pr Pa S
1 2 1 5
direct
0.0000 0.0000 0.0000
0.2963 0.7963 0.5000
0.7037 0.2037 0.5000
0.5000 0.5000 0.0000
0.1145 0.3521 0.7624
0.4104 0.6479 0.7624
0.5000 0.0000 0.5000
0.5896 0.3521 0.2376
0.8855 0.6479 0.2376
```